{
  "formula": "Li7Mn2Co3O12",
  "functional": "PBE with a Hubbard U",
  "state": "optimized geometry",
  "cell": [[-2.880, -0.054, 0.057], [1.313, 7.631, 0.107], [-0.078, -3.211, -9.677]],
  "species": ["Li", "Li", "Li", "Li", "Li", "Li", "Li", "Mn", "Mn", "Co", "Co", "Co", "O", "O", "O", "O", "O", "O", "O", "O", "O", "O", "O", "O"],
  "fractional_positions": [[0.836, 0.658, 0.747], [0.165, 0.326, 0.244], [0.489, 0.008, 0.756], [0.149, 0.319, 0.762], [0.506, 0.006, 0.259], [0.833, 0.670, 0.242], [0.665, 0.335, 0.000], [0.002, 0.004, 0.997], [0.348, 0.669, 0.497], [0.990, 0.012, 0.505], [0.330, 0.659, 0.001], [0.675, 0.331, 0.500], [0.417, 0.838, 0.893], [0.772, 0.524, 0.382], [0.061, 0.143, 0.885], [0.757, 0.523, 0.889], [0.088, 0.161, 0.381], [0.443, 0.844, 0.392], [0.267, 0.514, 0.609], [0.569, 0.142, 0.113], [0.920, 0.820, 0.608], [0.545, 0.156, 0.624], [0.913, 0.819, 0.103], [0.259, 0.520, 0.112]],
  "m_tot_mub_per_fu": 1.97,
  "dos_at_fermi_per_ev_cell": 0.7,
  "final_energy_ev_per_cell": -139.23,
  "e_above_lowest_polymorph_kj_per_mol_fu": 221.7
}